(1)
The following is a DFT calculation (PBE-GGA) of a relaxed structure of TbSmErGa.

```
4
Lattice="5.3461 0.0000 0.0000 2.6730 4.6298 0.0000 2.6730 1.5433 4.3651" Properties=species:S:1:pos:R:3 pbc="T T T"
Tb 0.0000 0.0000 0.0000
Ga 2.6730 1.5433 1.0913
Sm 5.3461 3.0866 2.1825
Er 8.0191 4.6298 3.2738
```

Computed properties:
VASP energy   -4.33 eV per atom
DOS(E_F)   6.73 states/eV per cell
Formation enthalpy at 0 K   -2.16 kcal/mol of atoms

(2)
The following is a DFT calculation (PBE-GGA) of a relaxed structure of Li3Mg4Al.

```
16
Lattice="-4.6634 -0.0192 1.1946 -1.1779 -4.7183 -4.6743 1.6975 -6.8795 6.5164" Properties=species:S:1:pos:R:3 pbc="T T T"
Mg -3.2180 -3.5598 -2.9198
Mg -2.3693 -6.9995 0.3384
Mg -2.6233 -1.1777 -0.5599
Mg -1.7746 -4.6174 2.6983
Mg 0.3868 -8.7093 1.3707
Mg -5.1251 -5.2888 -0.6930
Mg -4.5306 -2.9076 1.6660
Mg 0.9812 -6.3281 3.7297
Al -0.5890 -2.3591 -2.3371
Al 0.2598 -5.7989 0.9211
Li 0.0000 0.0000 0.0000
Li 0.8488 -3.4397 3.2582
Li -1.0595 -5.1692 5.4848
Li -1.9065 -1.7295 2.2262
Li -1.6472 -7.5283 3.1474
Li -2.4967 -4.0886 -0.1107
```

Computed properties:
VASP energy   -2.05 eV per atom
DOS(E_F)   3.70 states/eV per cell
Formation enthalpy at 0 K   -1.59 kcal/mol of atoms
Relative energy among the computed polymorphs   0 meV/atom

(3)
The following is a DFT calculation (PBE-GGA) of a relaxed structure of Ac2Pr8Ho.

```
11
Lattice="-3.6211 -4.0921 -2.0544 -3.8078 -0.7722 10.0119 -7.4762 4.2815 6.4115" Properties=species:S:1:pos:R:3 pbc="T T T"
Ac -5.8572 -2.0500 3.0905
Ac -9.0479 1.4672 11.2786
Pr -6.1005 1.4319 4.8053
Pr -4.3616 -0.9636 6.5119
Pr -8.8046 -2.0146 9.5637
Pr -6.9930 0.9506 8.4595
Pr -10.5435 0.3809 7.8571
Pr -2.7929 -0.3017 2.4222
Pr -12.1122 -0.2811 11.9468
Pr -7.9121 -1.5333 5.9095
Ho 0.0000 0.0000 0.0000
```

Computed properties:
VASP energy   -4.46 eV per atom
DOS(E_F)   16.99 states/eV per cell
Formation enthalpy at 0 K   4.16 kcal/mol of atoms
Relative energy among the computed polymorphs   28 meV/atom

(4)
The following is a DFT calculation (PBE-GGA) of a relaxed structure of Ac3Tl2Hg.

```
12
Lattice="-2.4138 6.5243 -0.2672 -0.6769 -0.5416 -7.1100 -6.4245 -5.9686 2.9894" Properties=species:S:1:pos:R:3 pbc="T T T"
Ac -1.6836 3.9579 -1.9452
Ac -1.4071 2.0248 -5.4321
Ac -2.8915 -0.2548 0.2372
Ac -6.8086 1.9543 -1.1280
Ac -2.7066 -1.9402 -3.2599
Ac -6.6237 0.2689 -4.6251
Tl -3.8151 1.3212 -3.0370
Tl -4.0337 3.0976 0.4563
Tl -5.4816 -3.0835 -4.8442
Tl -5.7001 -1.3071 -1.3509
Hg -2.6143 5.2877 -5.5657
Hg -0.4765 0.6950 -1.8115
```

Computed properties:
VASP energy   -3.22 eV per atom
DOS(E_F)   11.15 states/eV per cell
Formation enthalpy at 0 K   -7.62 kcal/mol of atoms
Relative energy among the computed polymorphs   55 meV/atom

(5)
The following is a DFT calculation (PBE-GGA) of a relaxed structure of BeTlSb2Te.

```
5
Lattice="5.7257 0.0000 0.0000 0.0000 5.7257 0.0000 0.0000 0.0000 5.7949" Properties=species:S:1:pos:R:3 pbc="T T T"
Sb 0.0000 2.8629 0.0000
Sb 2.8629 0.0000 0.0000
Tl 0.0000 0.0000 0.0000
Te 0.0000 0.0000 2.8975
Be 2.8629 2.8629 2.8975
```

Computed properties:
VASP energy   -2.12 eV per atom
DOS(E_F)   6.50 states/eV per cell
Relative energy among the computed polymorphs   1066 meV/atom

(6)
The following is a DFT calculation (PBE-GGA) of a relaxed structure of Sm2In2PRh4.

```
9
Lattice="6.3387 -0.0640 -0.0924 -3.0989 5.5300 0.0924 -3.0989 -1.8563 5.2099" Properties=species:S:1:pos:R:3 pbc="T T T"
Sm -4.3298 2.5664 3.7042
Sm -1.8679 1.1072 1.5981
In 0.0705 3.6514 1.3256
In 0.0705 -0.0418 3.8843
P 0.0000 0.0000 0.0000
Rh -3.0989 3.6662 1.3837
Rh -1.4940 2.7150 3.9186
Rh -3.0989 0.0074 3.9186
Rh 1.6350 0.8946 1.2913
```

Computed properties:
VASP energy   -5.94 eV per atom
DOS(E_F)   7.03 states/eV per cell
Formation enthalpy at 0 K   -9.59 kcal/mol of atoms

(7)
The following is a DFT calculation (PBE-GGA) of a relaxed structure of NbAs2IBr.

```
5
Lattice="-2.1475 -0.0116 4.9139 4.1910 -2.8041 1.8250 2.6112 4.6526 1.1521" Properties=species:S:1:pos:R:3 pbc="T T T"
I 0.0000 0.0000 0.0000
Nb 2.3274 0.9185 3.9455
As 2.0955 -1.4020 0.9125
As -1.0738 -0.0058 2.4569
Br 1.3056 2.3263 0.5761
```

Computed properties:
VASP energy   -3.00 eV per atom
DOS(E_F)   6.23 states/eV per cell
Relative energy among the computed polymorphs   1397 meV/atom

(8)
The following is a DFT calculation (PBE-GGA) of a relaxed structure of Pd14AuSe.

```
16
Lattice="5.5919 -0.2648 0.0000 -2.4353 5.0407 0.0000 0.0000 0.0000 9.1848" Properties=species:S:1:pos:R:3 pbc="T T T"
Pd -0.8805 4.0131 0.0000
Pd 3.1568 1.3446 0.0000
Pd -0.7550 2.2618 4.5924
Pd 0.3571 1.4840 0.0000
Pd 0.7799 4.5840 4.5924
Pd 1.9313 3.8657 0.0000
Pd 1.7739 0.5715 6.8782
Pd 1.7739 0.5715 2.3066
Pd 3.3261 2.9199 6.8782
Pd 3.3261 2.9199 2.3066
Pd 0.5239 3.0848 6.9347
Pd 0.5239 3.0848 2.2501
Pd 4.5697 0.4108 6.9125
Pd 4.5697 0.4108 2.2723
Au -2.0546 4.7891 4.5924
Se 2.3306 1.8907 4.5924
```

Computed properties:
VASP energy   -4.96 eV per atom
DOS(E_F)   31.85 states/eV per cell

(9)
The following is a DFT calculation (PBE-GGA) of a relaxed structure of NaThAgTe3.

```
12
Lattice="-1.3798 -2.3559 3.5487 -0.8504 -6.9927 -4.9729 9.9600 -0.4019 3.6059" Properties=species:S:1:pos:R:3 pbc="T T T"
Na 2.3669 -2.2951 0.8089
Na 5.3629 -7.4553 1.3727
Th 0.7797 -5.4800 -1.9226
Th 6.9501 -4.2704 4.1042
Ag 5.4227 -1.4265 2.5738
Ag 2.3071 -8.3240 -0.3922
Te -0.3339 -8.3499 -1.4363
Te 8.0636 -1.4005 3.6179
Te 3.7068 -5.8874 -1.0549
Te 4.0230 -3.8630 3.2365
Te 0.0432 -4.7702 1.0868
Te 7.6866 -4.9802 1.0948
```

Computed properties:
VASP energy   -4.41 eV per atom

(10)
The following is a DFT calculation (PBE-GGA) of a relaxed structure of U2Sb3.

```
5
Lattice="-4.9517 1.1222 1.1250 2.2261 -4.2464 2.0143 1.8748 3.3241 4.9360" Properties=species:S:1:pos:R:3 pbc="T T T"
U -2.2347 -0.0921 2.2756
U 1.3838 0.2920 5.7996
Sb 0.0000 0.0000 0.0000
Sb -1.3106 1.5464 4.7085
Sb 0.4597 -1.3465 3.3667
```

Computed properties:
VASP energy   -7.03 eV per atom
DOS(E_F)   9.74 states/eV per cell

(11)
The following is a DFT calculation (PBE-GGA) of a relaxed structure of K2Hg6BiSb.

```
20
Lattice="7.7582 0.0000 0.0000 3.8791 6.7188 0.0000 3.8791 2.2396 14.2368" Properties=species:S:1:pos:R:3 pbc="T T T"
K 11.6374 6.7188 5.6649
K 3.8791 2.2396 8.5719
K 11.6374 6.7188 12.1028
K 3.8791 2.2396 2.1339
Hg 10.1066 3.1234 5.3577
Hg 7.7582 7.1909 5.3577
Hg 5.4099 3.1234 5.3577
Hg 5.4099 5.8351 8.8791
Hg 7.7582 1.7675 8.8791
Hg 10.1066 5.8351 8.8791
Hg 9.9175 3.2326 11.9012
Hg 7.7582 6.9725 11.9012
Hg 5.5990 3.2326 11.9012
Hg 5.5990 5.7259 2.3356
Hg 7.7582 1.9860 2.3356
Hg 9.9175 5.7259 2.3356
Bi 0.0000 0.0000 0.0000
Bi 7.7582 4.4792 7.1184
Sb 7.7582 4.4792 3.8628
Sb 7.7582 4.4792 10.3740
```

Computed properties:
VASP energy   -1.29 eV per atom
DOS(E_F)   6.54 states/eV per cell

(12)
The following is a DFT calculation (PBE-GGA) of a relaxed structure of NdEr5Tm3.

```
18
Lattice="8.9632 1.8212 1.4540 4.2054 8.1222 1.4540 5.7447 4.3378 10.5822" Properties=species:S:1:pos:R:3 pbc="T T T"
Nd 16.7889 12.6772 11.7841
Nd 2.1243 1.6041 1.7061
Er 11.6765 6.7633 4.4075
Er 5.7382 6.0923 1.4540
Er 8.7003 6.5695 2.5969
Er 8.3385 6.2963 5.8858
Er 10.5748 7.9849 7.6044
Er 10.2130 7.7117 10.8933
Er 9.7015 9.3790 4.4075
Er 7.4304 3.8512 1.4540
Er 7.2368 7.5179 9.0826
Er 9.2118 4.9023 9.0826
Tm 13.0794 9.8761 9.2383
Tm 12.8635 9.7131 5.9869
Tm 0.0000 0.0000 0.0000
Tm 2.8723 2.1689 5.2911
Tm 5.8339 4.4051 4.2518
Tm 6.0498 4.5681 7.5033
```

Computed properties:
VASP energy   -4.12 eV per atom
DOS(E_F)   27.97 states/eV per cell
Formation enthalpy at 0 K   10.01 kcal/mol of atoms
Relative energy among the computed polymorphs   378 meV/atom

(13)
The following is a DFT calculation (PBE-GGA) of a relaxed structure of LiY2IrO6.

```
10
Lattice="-5.0493 -2.1256 0.6659 -0.9547 -3.6298 4.0459 -3.1172 1.6527 4.5113" Properties=species:S:1:pos:R:3 pbc="T T T"
Li -6.6648 -3.6405 6.4532
Y -4.4473 -2.4139 4.3129
Y -3.0232 1.3519 4.2635
Ir -2.0367 -1.8050 1.6640
O -3.8973 -1.5160 2.3187
O -2.7039 -3.5260 5.2125
O -6.2571 -3.7474 4.1334
O -5.3092 -2.1256 6.5093
O -5.9139 -0.5435 4.3594
O -3.3677 -0.5744 5.3624
```

Computed properties:
VASP energy   -7.63 eV per atom
DOS(E_F)   5.55 states/eV per cell

(14)
The following is a DFT calculation (PBE-GGA) of a relaxed structure of TmNpTeS2.

```
5
Lattice="-1.0592 3.0854 -2.9640 1.9635 -2.3624 -3.1609 -6.2221 -3.5188 1.8378" Properties=species:S:1:pos:R:3 pbc="T T T"
Tm -3.6872 -1.9035 -3.9410
Np -1.5518 -0.8491 -0.3293
Te 0.4186 0.3432 -3.0696
S -3.4373 -0.0483 -2.0991
S -1.9259 -2.7722 -2.1975
```

Computed properties:
VASP energy   -6.98 eV per atom
DOS(E_F)   12.68 states/eV per cell

(15)
The following is a DFT calculation (PBE-GGA) of a relaxed structure of Pu2Ga3Ru2.

```
7
Lattice="4.1308 0.0000 0.0000 -2.0654 4.7666 -0.1375 0.0000 -2.3725 6.7290" Properties=species:S:1:pos:R:3 pbc="T T T"
Pu 2.0654 2.8450 1.4339
Pu 0.0000 -0.4509 5.1575
Ga 2.0654 0.0000 0.0000
Ga 2.0654 0.1881 2.9592
Ga 0.0000 2.2060 3.6322
Ru 2.0654 1.6009 5.2594
Ru 0.0000 0.7932 1.3320
```

Computed properties:
VASP energy   -8.43 eV per atom
DOS(E_F)   14.99 states/eV per cell
Formation enthalpy at 0 K   -9.03 kcal/mol of atoms

(16)
The following is a DFT calculation (PBE-GGA) of a relaxed structure of SrCaInB2.

```
5
Lattice="-3.3605 3.3192 0.4651 -3.1075 -2.6390 -3.6190 -1.9784 -2.4960 3.5188" Properties=species:S:1:pos:R:3 pbc="T T T"
Sr -4.2232 -0.9079 0.1824
Ca -1.5538 -1.3195 -1.8095
B -0.9892 -1.2480 1.7594
B -1.6802 1.6596 0.2325
In 0.0000 0.0000 0.0000
```

Computed properties:
VASP energy   -2.67 eV per atom
DOS(E_F)   4.21 states/eV per cell
Formation enthalpy at 0 K   29.71 kcal/mol of atoms

(17)
The following is a DFT calculation (PBE-GGA) of a relaxed structure of BrF.

```
32
Lattice="-5.8189 0.6216 3.9211 -7.5180 -3.1645 -10.6551 0.6336 -10.0187 2.5285" Properties=species:S:1:pos:R:3 pbc="T T T"
Br -1.8845 -0.7932 -2.6709
Br -5.6335 -2.3713 -7.9842
Br -5.0503 -3.9295 -3.7081
Br -1.3013 -2.3514 1.6053
Br -5.3267 -7.3849 -6.7342
Br -1.5577 -5.7984 -1.3924
Br -8.4925 -10.5211 -7.7714
Br -4.7435 -8.9430 -2.4580
Br -4.4771 -5.4918 0.5539
Br -8.2261 -7.0699 -4.7595
Br -7.6429 -8.6280 -0.4833
Br -3.8939 -7.0500 4.8300
Br -8.5529 -2.0647 -6.0379
Br -4.7839 -0.4783 -0.6961
Br -11.7187 -5.2010 -7.0751
Br -7.9697 -3.6229 -1.7617
F 0.5364 -8.4805 2.1402
F 0.0973 -1.5383 0.3882
F -6.8375 -6.2610 -5.9907
F -7.0321 -3.1844 -6.7672
F -3.5395 -5.0534 -4.4515
F -3.3449 -8.1299 -3.6751
F -2.7617 -9.6880 0.6010
F -2.9563 -6.6115 -0.1754
F -2.6899 -3.1603 2.8365
F -2.4953 -6.2368 3.6130
F -9.4301 -10.9595 -2.7660
F -9.6247 -7.8830 -3.5424
F -6.1321 -9.7519 -1.2268
F -6.5711 -2.8097 -2.9788
F -5.9879 -4.3679 1.2974
F -6.1825 -1.2914 0.5209
```

Computed properties:
VASP energy   -2.23 eV per atom

(18)
The following is a DFT calculation (PBE-GGA) of a relaxed structure of Y2ZrIn3.

```
6
Lattice="3.3443 0.0000 0.0000 0.0000 3.3443 0.0000 0.0000 0.0000 13.3677" Properties=species:S:1:pos:R:3 pbc="T T T"
Y 1.6722 1.6722 11.0424
Y 1.6722 1.6722 2.3253
Zr 1.6722 1.6722 6.6839
In 0.0000 0.0000 0.0000
In 0.0000 0.0000 8.7667
In 0.0000 0.0000 4.6010
```

Computed properties:
VASP energy   -5.35 eV per atom
DOS(E_F)   5.18 states/eV per cell
Formation enthalpy at 0 K   -9.29 kcal/mol of atoms

(19)
The following is a DFT calculation (PBE-GGA) of a relaxed structure of PaNi2As2.

```
10
Lattice="5.7396 -0.6073 -0.0724 -2.5184 5.1932 -0.0724 -1.6904 -2.4066 6.0067" Properties=species:S:1:pos:R:3 pbc="T T T"
Pa 2.2558 0.8563 4.3964
Pa -0.7251 1.3229 1.4655
Ni -1.7972 3.4558 3.1684
Ni 0.5768 3.5853 0.1651
Ni 3.3279 -1.2766 2.6935
Ni 0.9540 -1.4061 5.6968
As -0.8857 -0.3613 4.4688
As 1.5913 -0.3042 1.4655
As -0.0606 2.4834 4.3964
As 2.4164 2.5405 1.3931
```

Computed properties:
VASP energy   -6.64 eV per atom
DOS(E_F)   6.36 states/eV per cell
Formation enthalpy at 0 K   -13.18 kcal/mol of atoms

(20)
The following is a DFT calculation (PBE-GGA) of a relaxed structure of LiCdAgHg2.

```
10
Lattice="-2.8472 1.1550 -0.8343 3.6514 -1.3542 -8.2612 -2.9544 -7.3552 -0.1002" Properties=species:S:1:pos:R:3 pbc="T T T"
Li -1.1229 -5.8974 -4.3325
Li -1.0273 -1.6569 -4.8632
Cd -1.9126 -5.5409 -7.2188
Cd -0.2375 -2.0135 -1.9768
Ag -1.4772 -3.6776 -0.0501
Ag 0.0000 0.0000 0.0000
Hg -2.4511 -3.7942 -2.9630
Hg 0.3009 -3.7601 -6.2326
Hg 1.3994 -1.0252 -6.1954
Hg -3.5496 -6.5291 -3.0003
```

Computed properties:
VASP energy   -1.28 eV per atom
DOS(E_F)   3.08 states/eV per cell
Formation enthalpy at 0 K   -0.46 kcal/mol of atoms